Entry 1:
Computed, not measured: Nb2Zn2Bi after structural relaxation at the GGA-PBE level of DFT.

Geometry as POSCAR:
```
Nb2Zn2Bi
1.0
-2.695 5.617 3.694
-6.703 -1.943 -1.936
-0.266 -2.157 3.085
Zn Nb Bi
4 4 2
Direct
0.167 0.667 0.500
0.667 0.833 0.500
0.833 0.333 0.500
0.333 0.167 0.500
0.372 0.872 0.000
0.872 0.628 0.000
0.628 0.128 0.000
0.128 0.372 0.000
0.000 0.000 0.000
0.500 0.500 0.000
```

DFT formation energy, kJ/mol of atoms: 24
Energy relative to the lowest polymorph listed for this composition, eV/f.u.: 0.000

---

Entry 2:
Computed, not measured: NbFeTeAuS after structural relaxation at the GGA-PBE level of DFT.

Geometry as POSCAR:
```
NbFeTeAuS
1.0
6.362 0.000 -0.066
0.000 3.628 0.000
-1.104 0.000 8.763
S Nb Te Au Fe
2 2 2 2 2
Direct
0.787 0.000 0.469
0.787 0.500 0.969
0.709 0.000 0.763
0.709 0.500 0.263
0.173 0.000 0.786
0.173 0.500 0.286
0.414 0.000 0.068
0.414 0.500 0.568
0.463 0.000 0.354
0.463 0.500 0.854
```

E_form (uncorrected), kJ/mol of formula units: -72.7
Energy relative to the lowest polymorph listed for this composition, eV/f.u.: 0.414

---

Entry 3:
Computed, not measured: Hg3SbAu3 after structural relaxation at the GGA-PBE level of DFT.

Geometry as POSCAR:
```
Hg3SbAu3
1.0
3.991 0.000 0.000
0.000 7.630 -1.719
0.000 -1.955 11.525
Hg Sb Au
6 2 6
Direct
0.250 0.440 0.358
0.750 0.560 0.642
0.250 0.883 0.868
0.750 0.117 0.132
0.250 0.467 0.871
0.750 0.533 0.129
0.250 0.926 0.331
0.750 0.074 0.669
0.250 0.276 0.601
0.750 0.724 0.399
0.250 0.797 0.604
0.750 0.203 0.396
0.250 0.802 0.082
0.750 0.198 0.918
```

E_form (uncorrected), kJ/mol of formula units: 21.8

---

What are the magnetic moment values for these records? In order: 0.0000; 0.2893; 0.0000 μB/atom.
What are the N(E_F) values for these records? In order: 0.670; 0.546; 0.253 states/eV/atom.
What are the calculated total energy values for these records? In order: -50.60; -59.67; -29.27 eV per cell.